[1]
A plane-wave DFT calculation with PBE-GGA was carried out for an optimized crystal structure of NaPmNpO4.

The electronic total energy is -8.337 eV/atom.

The structure belongs to space group Imma (No. 74); the cell edges are 6.979, 7.116 and 9.942 Å and the angles 90.00°, 90.00° and 90.00°. Symmetry generates all atoms from Na at (0.000, 0.250, 0.114), Pm at (0.000, 0.000, 0.500), Np at (0.250, 0.250, 0.750), O at (0.000, 0.045, 0.738) and O at (0.221, 0.250, 0.528).

[2]
A plane-wave DFT calculation with PBE-GGA was carried out for an optimized crystal structure of NaDyTl2F6.

The electronic total energy is -5.113 eV/atom.

The structure belongs to space group P2_1/c (No. 14); the cell edges are 6.348, 6.350 and 10.988 Å and the angles 90.00°, 125.23° and 90.00°. Symmetry generates all atoms from Na at (0.000, 0.000, 0.000), Dy at (0.500, 0.000, 0.500), Tl at (0.246, 0.019, 0.750), F at (0.202, 0.213, 0.471), F at (0.258, 0.730, 0.469) and F at (0.317, 0.012, 0.259).

We obtain formation energy without anion corrections values of -2787.8; -2924.6 meV/atom for the records listed above, in that order.